Model 1:
Crystalline Ho2VCd at its relaxed geometry. Source: Alexandria, functional PBE.

Cell lengths 3.6025, 3.6025, 7.5063 Å; angles 90.00, 90.00, 90.00 degrees
Positions (direct):
Ho 0.0000 0.0000 0.2286
Ho 0.0000 0.0000 0.7714
V 0.5000 0.5000 0.0000
Cd 0.5000 0.5000 0.5000

* SG: P4/mmm, No. 123
* calculated density: 8.41 g/cm³
* DOS(E_F): 2.89 states/eV/f.u.

Model 2:
Crystalline Ho2VCd at its relaxed geometry. Source: Alexandria, functional PBE.

Cell lengths 3.2669, 3.2669, 11.1909 Å; angles 81.61, 81.61, 60.00 degrees
Positions (direct):
Ho 0.9146 0.9146 0.2562
Ho 0.0854 0.0854 0.7438
Cd 0.5000 0.5000 0.5000
V 0.0000 0.0000 0.0000

* SG: R-3m, No. 166
* calculated density: 8.03 g/cm³
* DOS(E_F): 6.67 states/eV/f.u.

Which structure wins on stability? model 1 wins.

Model 1:
Crystalline Y8Ho2Cd at its relaxed geometry. Source: Alexandria, functional PBE.

Cell lengths 5.7005, 9.8358, 9.8358 Å; angles 40.60, 91.71, 91.71 degrees
Positions (direct):
Y 0.7657 0.8237 0.8237
Y 0.2546 0.1358 0.6113
Y 0.7454 0.8642 0.3887
Y 0.2346 0.5498 0.5498
Y 0.7654 0.4502 0.4502
Y 0.2343 0.1763 0.1763
Y 0.2546 0.6113 0.1358
Y 0.7454 0.3887 0.8642
Ho 0.2588 0.7190 0.7190
Ho 0.7412 0.2810 0.2810
Cd 0.0000 0.0000 0.0000

* SG: C2/m, No. 12
* calculated density: 5.34 g/cm³
* DOS(E_F): 17.93 states/eV/f.u.

Model 2:
Crystalline Y8Ho2Cd at its relaxed geometry. Source: Alexandria, functional PBE.

Cell lengths 5.5689, 6.4229, 10.0778 Å; angles 94.69, 106.04, 90.00 degrees
Positions (direct):
Y 0.6605 0.1249 0.3211
Y 0.0449 0.2620 0.0897
Y 0.4216 0.4000 0.8431
Y 0.9551 0.7380 0.9103
Y 0.8452 0.1973 0.6904
Y 0.3395 0.8751 0.6789
Y 0.5784 0.6000 0.1569
Y 0.1548 0.8027 0.3096
Ho 0.7573 0.6648 0.5147
Ho 0.2427 0.3352 0.4853
Cd 0.5000 0.0000 0.0000

* SG: C2/m, No. 12
* calculated density: 5.55 g/cm³
* DOS(E_F): 17.50 states/eV/f.u.

Which structure wins on stability? model 2 wins.

Model 1:
Crystalline Y2Ho3Cd2 at its relaxed geometry. Source: Alexandria, functional PBE.

Cell lengths 5.3604, 5.3656, 8.5257 Å; angles 108.30, 90.00, 119.97 degrees
Positions (direct):
Y 0.9253 0.8505 0.2751
Y 0.0747 0.1495 0.7249
Ho 0.3437 0.6875 0.5309
Ho 0.5000 0.0000 0.0000
Ho 0.6563 0.3125 0.4691
Cd 0.7878 0.5756 0.8639
Cd 0.2122 0.4244 0.1361

* SG: R-3m, No. 166
* calculated density: 7.53 g/cm³
* DOS(E_F): 7.74 states/eV/f.u.

Model 2:
Crystalline Y2Ho3Cd2 at its relaxed geometry. Source: Alexandria, functional PBE.

Cell lengths 5.0789, 3.4589, 11.6221 Å; angles 90.00, 77.38, 90.00 degrees
Positions (direct):
Cd 0.4317 0.5000 0.1366
Cd 0.5683 0.5000 0.8634
Ho 0.1460 0.0000 0.7080
Ho 0.8540 0.0000 0.2920
Ho 0.0000 0.0000 0.0000
Y 0.2900 0.5000 0.4200
Y 0.7100 0.5000 0.5800

* SG: Cmmm, No. 65
* calculated density: 7.48 g/cm³
* DOS(E_F): 6.73 states/eV/f.u.

Which structure wins on stability? model 1 wins.

Model 1:
Crystalline Y2HoCd at its relaxed geometry. Source: Alexandria, functional PBE.

Cell lengths 5.4494, 5.4494, 5.4494 Å; angles 60.00, 60.00, 60.00 degrees
Positions (direct):
Y 0.2500 0.2500 0.2500
Y 0.7500 0.7500 0.7500
Cd 0.0000 0.0000 0.0000
Ho 0.5000 0.5000 0.5000

* SG: Fm-3m, No. 225
* calculated density: 6.60 g/cm³
* DOS(E_F): 5.68 states/eV/f.u.

Model 2:
Crystalline Y2HoCd at its relaxed geometry. Source: Alexandria, functional PBE.

Cell lengths 3.5791, 3.5791, 10.9787 Å; angles 80.62, 80.62, 60.00 degrees
Positions (direct):
Y 0.7445 0.7445 0.7664
Y 0.2555 0.2555 0.2336
Cd 0.0000 0.0000 0.0000
Ho 0.5000 0.5000 0.5000

* SG: R-3m, No. 166
* calculated density: 6.32 g/cm³
* DOS(E_F): 4.51 states/eV/f.u.

Which structure wins on stability? model 2 wins.

Model 1:
Crystalline Y2HoCd at its relaxed geometry. Source: Alexandria, functional PBE.

Cell lengths 3.5952, 3.5952, 9.0411 Å; angles 90.00, 90.00, 90.00 degrees
Positions (direct):
Ho 0.5000 0.5000 0.5000
Y 0.0000 0.0000 0.2274
Y 0.0000 0.0000 0.7726
Cd 0.5000 0.5000 0.0000

* SG: P4/mmm, No. 123
* calculated density: 6.47 g/cm³
* DOS(E_F): 5.15 states/eV/f.u.

Model 2:
Crystalline Y2HoCd at its relaxed geometry. Source: Alexandria, functional PBE.

Cell lengths 3.6186, 3.6186, 10.8969 Å; angles 80.44, 80.44, 60.00 degrees
Positions (direct):
Y 0.2557 0.2557 0.2330
Y 0.0778 0.0778 0.7666
Ho 0.5001 0.5001 0.4998
Cd 0.6665 0.6665 0.0006

* SG: R3m, No. 160
* calculated density: 6.23 g/cm³
* DOS(E_F): 5.49 states/eV/f.u.

Which structure wins on stability? model 1 wins.

Model 1:
Crystalline Y2HoCd at its relaxed geometry. Source: Alexandria, functional PBE.

Cell lengths 4.0119, 5.3654, 5.3654 Å; angles 90.00, 90.00, 90.00 degrees
Positions (direct):
Ho 0.5000 0.5000 0.5000
Y 0.0000 0.0000 0.5000
Y 0.0000 0.5000 0.0000
Cd 0.5000 0.0000 0.0000

* SG: P4/mmm, No. 123
* calculated density: 6.54 g/cm³
* DOS(E_F): 5.63 states/eV/f.u.

Model 2:
Crystalline Y2HoCd at its relaxed geometry. Source: Alexandria, functional PBE.

Cell lengths 3.5303, 3.4713, 9.9541 Å; angles 100.04, 90.00, 90.00 degrees
Positions (direct):
Y 0.5000 0.1112 0.2224
Y 0.0000 0.4807 0.9614
Ho 0.0000 0.2662 0.5324
Cd 0.5000 0.8712 0.7424

* SG: Amm2, No. 38
* calculated density: 6.29 g/cm³
* DOS(E_F): 6.11 states/eV/f.u.

Which structure wins on stability? model 1 wins.